# Cs2SrPCl6, relaxed, DFT PBE
data_Cs2SrPCl6
_chemical_formula_sum 'Cs4 Sr2 P2 Cl12'
_cell_length_a 7.485
_cell_length_b 7.485
_cell_length_c 12.604
_cell_angle_alpha 90.00
_cell_angle_beta 90.00
_cell_angle_gamma 90.00
_space_group_name_H-M_alt 'I 4/m m m'
_space_group_IT_number 139
_space_group_name_Hall '-I 4 2'
loop_
_atom_site_label
_atom_site_type_symbol
_atom_site_fract_x
_atom_site_fract_y
_atom_site_fract_z
Cs1 Cs 0.000 0.500 0.250
Sr1 Sr 0.000 0.000 0.000
P1 P 0.000 0.000 0.500
Cl1 Cl 0.000 0.000 0.224
Cl2 Cl 0.227 0.227 0.500
# Uncorrected energy: -70.65 eV per cell
# Fermi-level density of states: 0.0 states/eV/f.u.
# Theoretical density: 2.81 Mg/m³

---

# Rb5YO4, relaxed, DFT PBE
data_Rb5YO4
_chemical_formula_sum 'Rb10 Y2 O8'
_cell_length_a 17.839
_cell_length_b 3.753
_cell_length_c 7.681
_cell_angle_alpha 90.00
_cell_angle_beta 104.36
_cell_angle_gamma 90.00
_space_group_name_H-M_alt 'C 1 2/m 1'
_space_group_IT_number 12
loop_
_space_group_symop_operation_xyz
'x,y,z'
'-x,-y,-z'
'-x,y,-z'
'x,-y,z'
'x+1/2,y+1/2,z'
'-x+1/2,-y+1/2,-z'
'-x+1/2,y+1/2,-z'
'x+1/2,-y+1/2,z'
loop_
_atom_site_label
_atom_site_type_symbol
_atom_site_fract_x
_atom_site_fract_y
_atom_site_fract_z
Rb1 Rb 0.000 0.000 0.000
Rb2 Rb 0.153 0.500 0.823
Rb3 Rb 0.159 0.500 0.364
Y1 Y 0.000 0.000 0.500
O1 O 0.001 0.500 0.295
O2 O 0.134 0.000 0.583
# Uncorrected energy: -92.97 eV per cell
# Theoretical density: 3.87 Mg/m³
# Distance to the lowest polymorph of the same formula: 1.020 eV/f.u.

---

What is the formula in the second record?
Rb5YO4

---

Which formula does entry 1 have?
Cs2SrPCl6